(1)
Entry from the Alexandria database: an optimized crystal structure of MnVBi2 (PBE-GGA).

Output
Size of the total moment, μB per formula unit: 6.935
DFT total energy, eV/f.u.: -23.57

```
MnVBi2
1.0
-6.203 -1.938 -4.159
4.224 0.319 -6.449
-0.212 -4.045 -4.955
Bi V Mn
4 2 2
Cartesian
-0.913 -3.642 -7.676
1.830 -1.049 -5.777
-3.420 -2.188 -4.656
-1.878 -4.450 -13.017
-0.989 -0.810 -5.304
1.511 -2.268 -8.354
-3.702 -3.396 -7.209
0.000 0.000 0.000
```



(2)
Entry from the Alexandria database: an optimized crystal structure of BaBSeN2 (PBE-GGA).

Output
Energy above the most stable polymorph in this dataset, meV per atom: 1287
Formation energy from raw total energies, eV per atom: 2.35
Size of the total moment, μB per formula unit: 5.027
DFT total energy, eV/f.u.: -16.98

```
BaBSeN2
1.0
-0.277 0.577 5.171
2.682 -4.422 0.637
5.585 3.376 -0.077
N Se B Ba
2 1 1 1
Cartesian
-0.139 0.289 2.585
1.341 -2.211 0.319
2.792 1.688 -0.039
3.995 -0.234 2.865
0.000 0.000 0.000
```



(3)
Entry from the Alexandria database: an optimized crystal structure of TbTmTh2Se4 (PBE-GGA).

Output
Formation energy from raw total energies, eV per atom: -1.62
Size of the total moment, μB per formula unit: 0.000
DFT total energy, eV/f.u.: -50.86

```
TbTmTh2Se4
1.0
-1.487 2.713 2.586
3.788 -3.268 5.607
6.231 2.997 0.438
Tm Se Th Tb
1 4 2 1
Cartesian
7.381 2.720 4.534
7.502 -0.110 4.429
3.602 -0.283 5.512
1.030 2.552 4.202
4.930 2.726 3.118
2.372 2.855 1.512
6.231 2.997 0.438
5.009 -0.135 3.022
```



(4)
Entry from the Alexandria database: an optimized crystal structure of Rb4Ho3InS8 (PBE-GGA).

Output
Formation energy from raw total energies, eV per atom: -1.59
Size of the total moment, μB per formula unit: 0.000
DFT total energy, eV/f.u.: -78.76

```
Rb4Ho3InS8
1.0
-1.662 7.419 2.739
-4.167 1.922 -7.735
-2.645 -6.484 4.034
Rb S Ho In
4 8 3 1
Cartesian
-2.154 0.468 3.387
0.000 0.000 0.000
-0.831 3.710 1.370
-1.323 -3.242 2.017
-6.643 0.534 0.551
-4.010 2.797 1.913
-2.672 6.075 -0.127
-4.464 0.061 -2.874
-5.313 3.760 -1.487
-5.802 -3.218 -0.834
-1.831 2.324 -1.512
-3.161 -0.902 0.525
-4.237 1.429 -0.481
-3.406 -2.281 -1.850
-2.914 4.671 -2.498
-2.083 0.961 -3.867
```



Q: Which formula does entry 1 have?
A: MnVBi2



Q: Look up the size of the total moment of the first one.
A: 6.935 μB per formula unit



Copy entry 4 word for word.
Entry from the Alexandria database: an optimized crystal structure of Rb4Ho3InS8 (PBE-GGA).

Output
Formation energy from raw total energies, eV per atom: -1.59
Size of the total moment, μB per formula unit: 0.000
DFT total energy, eV/f.u.: -78.76

```
Rb4Ho3InS8
1.0
-1.662 7.419 2.739
-4.167 1.922 -7.735
-2.645 -6.484 4.034
Rb S Ho In
4 8 3 1
Cartesian
-2.154 0.468 3.387
0.000 0.000 0.000
-0.831 3.710 1.370
-1.323 -3.242 2.017
-6.643 0.534 0.551
-4.010 2.797 1.913
-2.672 6.075 -0.127
-4.464 0.061 -2.874
-5.313 3.760 -1.487
-5.802 -3.218 -0.834
-1.831 2.324 -1.512
-3.161 -0.902 0.525
-4.237 1.429 -0.481
-3.406 -2.281 -1.850
-2.914 4.671 -2.498
-2.083 0.961 -3.867
```